# KIn3Si (PBEsol, relaxed)
data_KIn3Si
_space_group_name_H-M_alt 'P m -3 m'
_space_group_IT_number 221
_space_group_name_Hall '-P 4 2 3'
_cell_length_a 5.709
_cell_length_b 5.709
_cell_length_c 5.709
_cell_angle_alpha 90.00
_cell_angle_beta 90.00
_cell_angle_gamma 90.00
loop_
_atom_site_label
_atom_site_type_symbol
_atom_site_fract_x
_atom_site_fract_y
_atom_site_fract_z
K1 K 0.000 0.000 0.000
In1 In 0.000 0.000 0.500
Si1 Si 0.500 0.500 0.500
# Formation energy without anion corrections (eV/atom): 1.339



# ZnRe3 (PBEsol, relaxed)
data_ZnRe3
_space_group_name_H-M_alt 'P -6 m 2'
_space_group_IT_number 187
_space_group_name_Hall 'P -6 2'
_cell_length_a 2.7558
_cell_length_b 2.7558
_cell_length_c 8.7782
_cell_angle_alpha 90.00
_cell_angle_beta 90.00
_cell_angle_gamma 120.00
loop_
_atom_site_label
_atom_site_type_symbol
_atom_site_fract_x
_atom_site_fract_y
_atom_site_fract_z
Zn1 Zn 0.0000 0.0000 0.0000
Re1 Re 0.0000 0.0000 0.5000
Re2 Re 0.3333 0.6667 0.2519
# Energy relative to the elements (eV/atom): 0.078



# PNCl2F (PBEsol, relaxed)
data_PNCl2F
_space_group_name_H-M_alt 'P 4/m m m'
_space_group_IT_number 123
_space_group_name_Hall '-P 4 2'
_cell_length_a 4.369
_cell_length_b 4.369
_cell_length_c 3.811
_cell_angle_alpha 90.00
_cell_angle_beta 90.00
_cell_angle_gamma 90.00
loop_
_atom_site_label
_atom_site_type_symbol
_atom_site_fract_x
_atom_site_fract_y
_atom_site_fract_z
P1 P 0.000 0.000 0.000
N1 N 0.000 0.000 0.500
Cl1 Cl 0.000 0.500 0.500
F1 F 0.500 0.500 0.000
# Formation energy without anion corrections (eV/atom): 0.801



# ZrMo2As (PBEsol, relaxed)
data_ZrMo2As
_space_group_name_H-M_alt 'C m m 2'
_space_group_IT_number 35
_cell_length_a 3.333
_cell_length_b 4.802
_cell_length_c 8.394
_cell_angle_alpha 90.00
_cell_angle_beta 90.00
_cell_angle_gamma 90.00
loop_
_space_group_symop_operation_xyz
'x,y,z'
'-x,-y,z'
'-x,y,z'
'x,-y,z'
'x+1/2,y+1/2,z'
'-x+1/2,-y+1/2,z'
'-x+1/2,y+1/2,z'
'x+1/2,-y+1/2,z'
loop_
_atom_site_label
_atom_site_type_symbol
_atom_site_fract_x
_atom_site_fract_y
_atom_site_fract_z
Zr1 Zr 0.000 0.000 0.000
Mo1 Mo 0.000 0.000 0.508
Mo2 Mo 0.000 0.500 0.269
As1 As 0.000 0.500 0.744
# Energy relative to the elements (eV/atom): -0.054



# SrCd3Sb (PBEsol, relaxed)
data_SrCd3Sb
_space_group_name_H-M_alt 'P m -3 m'
_space_group_IT_number 221
_space_group_name_Hall '-P 4 2 3'
_cell_length_a 5.536
_cell_length_b 5.536
_cell_length_c 5.536
_cell_angle_alpha 90.00
_cell_angle_beta 90.00
_cell_angle_gamma 90.00
loop_
_atom_site_label
_atom_site_type_symbol
_atom_site_fract_x
_atom_site_fract_y
_atom_site_fract_z
Sr1 Sr 0.000 0.000 0.000
Cd1 Cd 0.000 0.500 0.500
Sb1 Sb 0.500 0.500 0.500
# Formation energy without anion corrections (eV/atom): 0.181



# Mg2CrNi (PBEsol, relaxed)
data_Mg2CrNi
_space_group_name_H-M_alt 'I m m 2'
_space_group_IT_number 44
_cell_length_a 3.024
_cell_length_b 4.529
_cell_length_c 9.103
_cell_angle_alpha 90.00
_cell_angle_beta 90.00
_cell_angle_gamma 90.00
loop_
_space_group_symop_operation_xyz
'x,y,z'
'-x,-y,z'
'-x,y,z'
'x,-y,z'
'x+1/2,y+1/2,z+1/2'
'-x+1/2,-y+1/2,z+1/2'
'-x+1/2,y+1/2,z+1/2'
'x+1/2,-y+1/2,z+1/2'
loop_
_atom_site_label
_atom_site_type_symbol
_atom_site_fract_x
_atom_site_fract_y
_atom_site_fract_z
Mg1 Mg 0.000 0.000 0.000
Mg2 Mg 0.000 0.500 0.217
Cr1 Cr 0.000 0.000 0.439
Ni1 Ni 0.000 0.500 0.738
# Energy relative to the elements (eV/atom): 0.280



# GaHg3 (PBEsol, relaxed)
data_GaHg3
_space_group_name_H-M_alt 'F m -3 m'
_space_group_IT_number 225
_space_group_name_Hall '-F 4 2 3'
_cell_length_a 7.089
_cell_length_b 7.089
_cell_length_c 7.089
_cell_angle_alpha 90.00
_cell_angle_beta 90.00
_cell_angle_gamma 90.00
loop_
_atom_site_label
_atom_site_type_symbol
_atom_site_fract_x
_atom_site_fract_y
_atom_site_fract_z
Ga1 Ga 0.000 0.000 0.000
Hg1 Hg 0.000 0.000 0.500
Hg2 Hg 0.250 0.250 0.250
# Energy relative to the elements (eV/atom): 0.048



# Sc2MoBr (PBEsol, relaxed)
data_Sc2MoBr
_space_group_name_H-M_alt 'P m m 2'
_space_group_IT_number 25
_cell_length_a 3.123
_cell_length_b 4.618
_cell_length_c 5.516
_cell_angle_alpha 90.00
_cell_angle_beta 90.00
_cell_angle_gamma 90.00
loop_
_space_group_symop_operation_xyz
'x,y,z'
'-x,-y,z'
'-x,y,z'
'x,-y,z'
loop_
_atom_site_label
_atom_site_type_symbol
_atom_site_fract_x
_atom_site_fract_y
_atom_site_fract_z
Sc1 Sc 0.000 0.000 0.000
Sc2 Sc 0.500 0.500 0.378
Mo1 Mo 0.500 0.500 0.915
Br1 Br 0.000 0.000 0.497
# Formation energy without anion corrections (eV/atom): 0.002



# CaFe2Si2 (PBEsol, relaxed)
data_CaFe2Si2
_space_group_name_H-M_alt 'I 4/m m m'
_space_group_IT_number 139
_space_group_name_Hall '-I 4 2'
_cell_length_a 3.926
_cell_length_b 3.926
_cell_length_c 9.614
_cell_angle_alpha 90.00
_cell_angle_beta 90.00
_cell_angle_gamma 90.00
loop_
_atom_site_label
_atom_site_type_symbol
_atom_site_fract_x
_atom_site_fract_y
_atom_site_fract_z
Ca1 Ca 0.000 0.000 0.000
Fe1 Fe 0.000 0.500 0.250
Si1 Si 0.000 0.000 0.364
# Formation energy without anion corrections (eV/atom): -0.499



# AlIrSe2 (PBEsol, relaxed)
data_AlIrSe2
_space_group_name_H-M_alt 'C m m m'
_space_group_IT_number 65
_space_group_name_Hall '-C 2 2'
_cell_length_a 2.874
_cell_length_b 5.235
_cell_length_c 9.314
_cell_angle_alpha 90.00
_cell_angle_beta 90.00
_cell_angle_gamma 90.00
loop_
_atom_site_label
_atom_site_type_symbol
_atom_site_fract_x
_atom_site_fract_y
_atom_site_fract_z
Al1 Al 0.000 0.000 0.000
Ir1 Ir 0.000 0.000 0.500
Se1 Se 0.000 0.500 0.274
# Formation energy without anion corrections (eV/atom): 0.361



# Rb2BeMo (PBEsol, relaxed)
data_Rb2BeMo
_space_group_name_H-M_alt 'I -4 2 d'
_space_group_IT_number 122
_space_group_name_Hall 'I -4 2bw'
_cell_length_a 12.772
_cell_length_b 12.772
_cell_length_c 4.568
_cell_angle_alpha 90.00
_cell_angle_beta 90.00
_cell_angle_gamma 90.00
loop_
_atom_site_label
_atom_site_type_symbol
_atom_site_fract_x
_atom_site_fract_y
_atom_site_fract_z
Rb1 Rb 0.066 0.250 0.125
Be1 Be 0.000 0.000 0.000
Mo1 Mo 0.000 0.000 0.500
# Energy relative to the elements (eV/atom): 1.510



# BiPd2Pb2 (PBEsol, relaxed)
data_BiPd2Pb2
_space_group_name_H-M_alt 'P 4/m b m'
_space_group_IT_number 127
_space_group_name_Hall '-P 4 2ab'
_cell_length_a 7.851
_cell_length_b 7.851
_cell_length_c 3.573
_cell_angle_alpha 90.00
_cell_angle_beta 90.00
_cell_angle_gamma 90.00
loop_
_atom_site_label
_atom_site_type_symbol
_atom_site_fract_x
_atom_site_fract_y
_atom_site_fract_z
Bi1 Bi 0.000 0.000 0.000
Pd1 Pd 0.133 0.367 0.000
Pb1 Pb 0.160 0.660 0.500
# Energy relative to the elements (eV/atom): -0.173